A geometry-optimized CuTePC structure, computed with PBE.

```
8
Lattice="-4.337 -0.481 -3.275 -1.300 -1.713 1.973 -4.168 8.145 4.323" Properties=species:S:1:pos:R:3 pbc="T T T"
P -5.385 6.045 1.699
P -3.951 1.116 0.524
C -3.679 2.712 -0.070
C -6.413 5.929 3.078
Te -2.481 4.848 2.573
Te -1.047 -0.081 1.398
Cu -4.470 4.257 0.750
Cu -3.036 -0.672 -0.426
```

Results
**Distance to the lowest polymorph of the same formula**: 5 meV/atom
**Fermi-level density of states**: 0.416 states/eV/atom
**Space group**: No. 38
**ΔE_f (raw)**: 174 kJ/mol of formula units


A geometry-optimized CuTePC structure, computed with PBE.

```
4
Lattice="-1.407 0.020 2.615 1.396 -4.563 -0.854 4.796 2.037 2.432" Properties=species:S:1:pos:R:3 pbc="T T T"
P 2.895 0.090 1.991
C 4.087 -1.037 2.635
Te 0.747 -1.412 0.942
Cu 5.031 -2.278 1.465
```

Results
**Distance to the lowest polymorph of the same formula**: 283 meV/atom
**Fermi-level density of states**: 0.698 states/eV/atom
**Space group**: No. 1
**ΔE_f (raw)**: 281 kJ/mol of formula units


A geometry-optimized CuTePC structure, computed with PBE.

```
4
Lattice="-1.754 -1.749 -2.979 2.291 -3.676 -0.338 -3.397 -2.605 2.708" Properties=species:S:1:pos:R:3 pbc="T T T"
P 1.253 -3.508 -0.498
C 0.547 -4.584 0.565
Te -3.253 -3.925 -0.423
Cu -0.746 -4.943 -0.936
```

Results
**Distance to the lowest polymorph of the same formula**: 246 meV/atom
**Fermi-level density of states**: 0.177 states/eV/atom
**Space group**: No. 1
**ΔE_f (raw)**: 267 kJ/mol of formula units


A geometry-optimized CuTePC structure, computed with PBE.

```
8
Lattice="-0.564 -3.511 -3.819 -0.600 -3.789 3.573 -5.279 3.523 2.849" Properties=species:S:1:pos:R:3 pbc="T T T"
P -3.746 -0.598 -1.263
P -1.407 -4.254 -0.901
C -4.786 0.385 -0.396
C -2.447 -3.271 -0.034
Te -0.773 -0.322 -0.472
Te -3.712 -0.456 2.739
Cu -4.363 1.645 1.012
Cu -2.024 -2.010 1.374
```

Results
**Distance to the lowest polymorph of the same formula**: 285 meV/atom
**Fermi-level density of states**: 0.369 states/eV/atom
**Space group**: No. 8
**ΔE_f (raw)**: 282 kJ/mol of formula units


A geometry-optimized CuTePC structure, computed with PBE.

```
8
Lattice="6.008 0.000 -0.001 0.000 3.009 0.000 -1.578 0.000 7.876" Properties=species:S:1:pos:R:3 pbc="T T T"
P 1.112 0.000 3.133
P 0.323 1.505 7.070
C 0.995 0.000 7.799
C 1.783 1.505 3.861
Te 4.205 0.000 1.364
Te 3.416 1.505 5.301
Cu 0.734 0.000 0.828
Cu -0.055 1.505 4.766
```

Results
**Distance to the lowest polymorph of the same formula**: 0 meV/atom
**Fermi-level density of states**: 0.158 states/eV/atom
**Space group**: No. 8
**ΔE_f (raw)**: 172 kJ/mol of formula units


A geometry-optimized CuTePC structure, computed with PBE.

```
8
Lattice="5.692 0.000 0.017 0.000 3.368 0.000 -0.323 0.000 7.611" Properties=species:S:1:pos:R:3 pbc="T T T"
P 1.743 0.000 4.558
P 1.904 1.684 0.752
C 0.291 0.000 3.558
C 0.129 1.684 7.363
Te 4.454 0.000 7.146
Te 4.616 1.684 3.341
Cu 1.935 0.000 2.262
Cu 1.774 1.684 6.067
```

Results
**Distance to the lowest polymorph of the same formula**: 207 meV/atom
**Fermi-level density of states**: 0.339 states/eV/atom
**Space group**: No. 8
**ΔE_f (raw)**: 252 kJ/mol of formula units